Record 1
## MnInB2Pb (PBE)

Data for a relaxed structure of MnInB2Pb.

Properties
Total energy (eV per atom): -3.2328
V (Å³/cell): 120.14

Lattice parameters (Å, degrees): 4.480 4.480 5.986 90.00 90.00 90.00
Space group P4/mmm (No. 123)
One atom of each set of equivalent atoms:
Mn 0.000 0.000 0.000 (multiplicity 1)
In 0.500 0.500 0.000 (multiplicity 1)
B 0.000 0.500 0.500 (multiplicity 2)
Pb 0.500 0.500 0.500 (multiplicity 1)

***

Record 2
## Ce2PrHoBi4 (PBE)

Data for a relaxed structure of Ce2PrHoBi4.

Properties
Total energy (eV per atom): -5.4349
V (Å³/cell): 271.48

Lattice parameters (Å, degrees): 7.916 4.582 7.940 90.00 109.50 90.00
Space group P2/m (No. 10)
One atom of each set of equivalent atoms:
Ce 0.000 0.000 0.000 (multiplicity 1)
Ce 0.000 0.500 0.500 (multiplicity 1)
Pr 0.500 0.000 0.500 (multiplicity 1)
Ho 0.500 0.500 0.000 (multiplicity 1)
Bi 0.250 0.500 0.244 (multiplicity 2)
Bi 0.254 0.000 0.757 (multiplicity 2)

***

Record 3
## Pr4NdEr5 (PBE)

Data for a relaxed structure of Pr4NdEr5.

Properties
Total energy (eV per atom): -4.4736
V (Å³/cell): 347.29

Lattice parameters (Å, degrees): 3.543 8.777 11.401 90.23 90.02 101.61
Space group P-1 (No. 2)
One atom of each set of equivalent atoms:
Pr 0.035 0.067 0.247 (multiplicity 2)
Pr 0.346 0.682 0.250 (multiplicity 2)
Nd 0.500 0.000 0.500 (multiplicity 1)
Er 0.171 0.345 0.044 (multiplicity 2)
Er 0.173 0.349 0.450 (multiplicity 2)
Er 0.500 0.000 0.000 (multiplicity 1)

***

Record 4
## CsBeSi2Os (PBE)

Data for a relaxed structure of CsBeSi2Os.

Properties
Total energy (eV per atom): -4.3597
Formation energy (no corrections) (kJ/mol of formula units): 469
V (Å³/cell): 147.18

Lattice parameters (Å, degrees): 4.634 4.634 6.854 90.00 90.00 90.00
Space group P4/mmm (No. 123)
One atom of each set of equivalent atoms:
Cs 0.000 0.000 0.000 (multiplicity 1)
Be 0.500 0.500 0.000 (multiplicity 1)
Si 0.000 0.500 0.500 (multiplicity 2)
Os 0.000 0.000 0.500 (multiplicity 1)

***

Record 5
## Pu2CuSb (PBE)

Data for a relaxed structure of Pu2CuSb.

Properties
Total energy (eV per atom): -9.4548
Formation energy (no corrections) (kJ/mol of formula units): -90
V (Å³/cell): 390.14

Lattice parameters (Å, degrees): 7.307 7.307 7.307 90.00 90.00 90.00
Space group Fm-3m (No. 225)
One atom of each set of equivalent atoms:
Pu 0.250 0.250 0.250 (multiplicity 8)
Cu 0.000 0.000 0.000 (multiplicity 4)
Sb 0.000 0.000 0.500 (multiplicity 4)

***

Record 6
## Pm5NdHo2 (PBE)

Data for a relaxed structure of Pm5NdHo2.

Properties
Total energy (eV per atom): -4.5546
V (Å³/cell): 1091.68

Lattice parameters (Å, degrees): 16.818 10.036 6.548 90.00 98.98 90.00
Space group C2/c (No. 15)
One atom of each set of equivalent atoms:
Pm 0.000 0.054 0.250 (multiplicity 4)
Pm 0.096 0.405 0.138 (multiplicity 8)
Pm 0.200 0.088 0.017 (multiplicity 8)
Nd 0.250 0.250 0.500 (multiplicity 4)
Ho 0.077 0.255 0.624 (multiplicity 8)

***

Record 7
## YN (PBE)

Data for a relaxed structure of YN.

Properties
Total energy (eV per atom): -8.8408
Formation energy (no corrections) (kJ/mol of formula units): -279
V (Å³/cell): 148.47

Lattice parameters (Å, degrees): 5.295 5.295 5.295 90.00 90.00 90.00
Space group F-43m (No. 216)
One atom of each set of equivalent atoms:
Y 0.000 0.000 0.000 (multiplicity 4)
N 0.250 0.250 0.750 (multiplicity 4)

***

Record 8
## TbDy3Zn8 (PBE)

Data for a relaxed structure of TbDy3Zn8.

Properties
Total energy (eV per atom): -2.7204
V (Å³/cell): 691.36

Lattice parameters (Å, degrees): 5.4718 5.4718 26.6630 90.00 90.00 120.00
Space group R3m (No. 160, hexagonal axes)
One atom of each set of equivalent atoms:
Tb 0.0000 0.0000 0.0000 (multiplicity 3)
Dy 0.0000 0.0000 0.1247 (multiplicity 3)
Dy 0.0000 0.0000 0.5002 (multiplicity 3)
Dy 0.0000 0.0000 0.6248 (multiplicity 3)
Zn 0.0000 0.0000 0.3124 (multiplicity 3)
Zn 0.0000 0.0000 0.8124 (multiplicity 3)
Zn 0.0003 0.5001 0.0626 (multiplicity 9)
Zn 0.9997 0.4999 0.5623 (multiplicity 9)

***

Record 9
## TiCr2B (PBE)

Data for a relaxed structure of TiCr2B.

Properties
Total energy (eV per atom): -8.2820
V (Å³/cell): 193.01

Lattice parameters (Å, degrees): 6.637 6.637 4.381 90.00 90.00 90.00
Space group I-42d (No. 122)
One atom of each set of equivalent atoms:
Ti 0.000 0.000 0.000 (multiplicity 4)
Cr 0.165 0.250 0.625 (multiplicity 8)
B 0.000 0.000 0.500 (multiplicity 4)

***

Record 10
## CsU2Au2S6 (PBE)

Data for a relaxed structure of CsU2Au2S6.

Properties
Total energy (eV per atom): -5.8752
Formation energy (no corrections) (kJ/mol of formula units): -953
V (Å³/cell): 321.68

Lattice parameters (Å, degrees): 7.296 7.474 7.907 92.29 115.79 119.04
Space group P-1 (No. 2)
One atom of each set of equivalent atoms:
Cs 0.000 0.000 0.000 (multiplicity 1)
U 0.328 0.661 0.999 (multiplicity 2)
Au 0.013 0.296 0.552 (multiplicity 2)
S 0.143 0.651 0.227 (multiplicity 2)
S 0.290 0.926 0.779 (multiplicity 2)
S 0.448 0.516 0.775 (multiplicity 2)

***

Record 11
## Ce5ThTl2 (PBE)

Data for a relaxed structure of Ce5ThTl2.

Properties
Total energy (eV per atom): -5.3319
V (Å³/cell): 453.82

Lattice parameters (Å, degrees): 6.866 13.729 4.814 90.00 90.00 90.00
Space group Pbam (No. 55)
One atom of each set of equivalent atoms:
Ce 0.000 0.000 0.000 (multiplicity 2)
Ce 0.005 0.249 0.000 (multiplicity 4)
Ce 0.242 0.873 0.500 (multiplicity 4)
Th 0.000 0.500 0.000 (multiplicity 2)
Tl 0.247 0.625 0.500 (multiplicity 4)

***

Record 12
## TiGe3N (PBE)

Data for a relaxed structure of TiGe3N.

Properties
Total energy (eV per atom): -4.7255
Formation energy (no corrections) (kJ/mol of formula units): 622
V (Å³/cell): 119.53

Lattice parameters (Å, degrees): 4.926 4.926 4.926 90.00 90.00 90.00
Space group Pm-3m (No. 221)
One atom of each set of equivalent atoms:
Ti 0.000 0.000 0.000 (multiplicity 1)
Ge 0.000 0.000 0.500 (multiplicity 3)
N 0.500 0.500 0.500 (multiplicity 1)

***

Record 13
## InFeAg2 (PBE)

Data for a relaxed structure of InFeAg2.

Properties
Total energy (eV per atom): -3.8602
V (Å³/cell): 217.70

Lattice parameters (Å, degrees): 2.9904 2.9904 28.1097 90.00 90.00 120.00
Space group R-3m (No. 166, hexagonal axes)
One atom of each set of equivalent atoms:
In 0.0000 0.0000 0.0000 (multiplicity 3)
Fe 0.0000 0.0000 0.5000 (multiplicity 3)
Ag 0.0000 0.0000 0.2436 (multiplicity 6)